[1]
DFT (PBE-GGA) results for crystalline HfNiHgBi at its relaxed geometry.

Output
As for the total magnetization: 0.3 μB/cell. As for the final energy: -4.72 eV/atom.

abc: 6.8836 6.8836 6.8836
angles: 90.00 90.00 90.00
Closest atoms and distances in Å follow each position.
Space group F-43m (No. 216)
Symmetry-distinct sites (fractional):
Hf 0.0000 0.0000 0.0000 x4  4 Hg 2.98, 4 Bi 2.98
Ni 0.0000 0.0000 0.5000 x4  4 Hg 2.98, 4 Bi 2.98
Hg 0.2500 0.2500 0.7500 x4  4 Hf 2.98, 4 Ni 2.98
Bi 0.2500 0.2500 0.2500 x4  4 Ni 2.98, 4 Hf 2.98

[2]
DFT (PBE-GGA) results for crystalline ThTcSn at its relaxed geometry.

Output
As for the energy above the most stable polymorph in this dataset: 388 meV per atom. As for the total magnetization: 0.4 μB/cell.

abc: 6.9752 6.9752 6.9752
angles: 90.00 90.00 90.00
Closest atoms and distances in Å follow each position.
Space group F-43m (No. 216)
Symmetry-distinct sites (fractional):
Th 0.0000 0.0000 0.0000 x4  4 Tc 3.02, 4 Sn 3.02
Tc 0.2500 0.2500 0.2500 x4  4 Th 3.02
Sn 0.2500 0.2500 0.7500 x4  4 Th 3.02

[3]
DFT (PBE-GGA) results for crystalline PrCoAs at its relaxed geometry.

Output
As for the total magnetization: 7.4 μB/cell. As for the final energy: -5.29 eV/atom.

abc: 6.6842 6.6842 6.6842
angles: 90.00 90.00 90.00
Closest atoms and distances in Å follow each position.
Space group F-43m (No. 216)
Symmetry-distinct sites (fractional):
Pr 0.0000 0.0000 0.0000 x4  4 As 2.89, 4 Co 2.89
Co 0.2500 0.2500 0.7500 x4  4 Pr 2.89
As 0.2500 0.2500 0.2500 x4  4 Pr 2.89

[4]
DFT (PBE-GGA) results for crystalline BaGdPO at its relaxed geometry.

Output
As for the energy above the most stable polymorph in this dataset: 226 meV per atom. As for the total magnetization: 0.0 μB/cell.

abc: 5.5656 5.5656 6.1569
angles: 90.00 90.00 90.00
Closest atoms and distances in Å follow each position.
Space group P4/nmm (No. 129, origin choice 2)
Symmetry-distinct sites (fractional):
Ba 0.2500 0.2500 0.0006 x2  4 O 2.78, 2 P 3.08
Gd 0.2500 0.7500 0.5000 x2  4 P 2.78, 2 O 3.08
P 0.2500 0.2500 0.5011 x2  4 Gd 2.78, 2 Ba 3.08
O 0.2500 0.7500 0.0000 x2  4 Ba 2.78, 2 Gd 3.08

[5]
DFT (PBE-GGA) results for crystalline Rb2AgSbCl6 at its relaxed geometry.

Output
As for the energy above the most stable polymorph in this dataset: 11 meV per atom.

abc: 7.5346 7.5393 10.6593
angles: 90.02 90.00 90.00
Closest atoms and distances in Å follow each position.
Space group P1 (No. 1)
Symmetry-distinct sites (fractional):
Rb 0.0000 0.0000 0.0000 x1  12 Cl 3.71-3.83
Rb 0.0001 0.9997 0.5004 x1  12 Cl 3.71-3.82
Rb 0.5000 0.4996 0.0002 x1  12 Cl 3.72-3.83
Rb 0.5000 0.4996 0.5001 x1  12 Cl 3.72-3.83
Ag 0.9999 0.4994 0.2502 x1  6 Cl 2.68
Ag 0.5001 0.0000 0.7502 x1  6 Cl 2.68
Sb 0.0001 0.5001 0.7502 x1  6 Cl 2.65
Sb 0.4999 0.9993 0.2502 x1  6 Cl 2.65
Cl 0.0015 0.5003 0.5018 x1  1 Sb 2.65, 1 Ag 2.68
Cl 0.2452 0.2483 0.7507 x1  1 Sb 2.65, 1 Ag 2.68
Cl 0.2449 0.7578 0.2491 x1  1 Sb 2.65, 1 Ag 2.68
Cl 0.2521 0.7448 0.7511 x1  1 Sb 2.65, 1 Ag 2.68
Cl 0.2580 0.2542 0.2498 x1  1 Sb 2.65, 1 Ag 2.68
Cl 0.4987 0.9987 0.4986 x1  1 Sb 2.65, 1 Ag 2.68
Cl 0.5013 0.0000 0.0018 x1  1 Sb 2.65, 1 Ag 2.68
Cl 0.7417 0.7445 0.2505 x1  1 Sb 2.65, 1 Ag 2.68
Cl 0.7481 0.2553 0.7492 x1  1 Sb 2.65, 1 Ag 2.68
Cl 0.7552 0.2410 0.2513 x1  1 Sb 2.65, 1 Ag 2.68
Cl 0.7553 0.7519 0.7496 x1  1 Sb 2.65, 1 Ag 2.68
Cl 0.9985 0.4997 0.9986 x1  1 Sb 2.65, 1 Ag 2.68

[6]
DFT (PBE-GGA) results for crystalline NiAg2Bi at its relaxed geometry.

Output
As for the total magnetization: 0.0 μB/cell. As for the final energy: -3.63 eV/atom.

abc: 6.6888 6.6888 6.6888
angles: 90.00 90.00 90.00
Closest atoms and distances in Å follow each position.
Space group F-43m (No. 216)
Symmetry-distinct sites (fractional):
Ni 0.0000 0.0000 0.0000 x4  4 Ag 2.90, 4 Bi 2.90
Ag 0.0000 0.0000 0.5000 x4  4 Bi 2.90, 4 Ag 2.90
Ag 0.2500 0.2500 0.2500 x4  4 Ni 2.90, 4 Ag 2.90
Bi 0.2500 0.2500 0.7500 x4  4 Ni 2.90, 4 Ag 2.90

[7]
DFT (PBE-GGA) results for crystalline Li8TmO6 at its relaxed geometry.

Output
As for the total magnetization: 3.0 μB/cell. As for the final energy: -5.33 eV/atom.

abc: 5.5375 5.5375 15.7657
angles: 90.00 90.00 120.00
Closest atoms and distances in Å follow each position.
Space group R-3 (No. 148, hexagonal axes)
Symmetry-distinct sites (fractional):
Li 0.0000 0.0000 0.1545 x6  3 O 2.16
Li 0.0165 0.6500 0.3776 x18  4 O 1.88-2.00
Tm 0.0000 0.0000 0.5000 x3  6 O 2.22
O 0.0068 0.6556 0.2507 x18  4 Li 1.88-2.00

[8]
DFT (PBE-GGA) results for crystalline ScTlCuAu at its relaxed geometry.

Output
As for the energy above the most stable polymorph in this dataset: 90 meV per atom. As for the total magnetization: 0.0 μB/cell.

abc: 6.6772 6.6772 6.6772
angles: 90.00 90.00 90.00
Closest atoms and distances in Å follow each position.
Space group F-43m (No. 216)
Symmetry-distinct sites (fractional):
Sc 0.0000 0.0000 0.0000 x4  4 Tl 2.89, 4 Cu 2.89
Tl 0.2500 0.2500 0.2500 x4  4 Sc 2.89, 4 Au 2.89
Cu 0.2500 0.2500 0.7500 x4  4 Sc 2.89, 4 Au 2.89
Au 0.0000 0.0000 0.5000 x4  4 Tl 2.89, 4 Cu 2.89

[9]
DFT (PBE-GGA) results for crystalline CsLu2Cu3TeSe4 at its relaxed geometry.

Output
As for the total magnetization: 0.0 μB/cell. As for the final energy: -4.49 eV/atom.

abc: 4.1416 14.6466 17.5159
angles: 90.00 90.00 90.00
Closest atoms and distances in Å follow each position.
Space group Cmcm (No. 63)
Symmetry-distinct sites (fractional):
Cs 0.0000 0.0522 0.2500 x4  2 Cu 3.58, 6 Se 3.59-3.63, 2 Te 3.64
Lu 0.0000 0.1894 0.5855 x8  5 Se 2.75-2.92, 1 Te 2.99
Cu 0.0000 0.3528 0.2500 x4  2 Te 2.50, 2 Se 2.76
Cu 0.0000 0.4162 0.5331 x8  4 Se 2.51-2.53, 1 Cu 2.72
Te 0.0000 0.2433 0.7500 x4  2 Cu 2.50
Se 0.0000 0.1710 0.0708 x8  2 Cu 2.52, 1 Lu 2.75
Se 0.0000 0.4372 0.1093 x8  3 Cu 2.51-2.76, 2 Lu 2.81

[10]
DFT (PBE-GGA) results for crystalline DyZrBe2Si2 at its relaxed geometry.

Output
As for the total magnetization: 0.0 μB/cell. As for the final energy: -5.94 eV/atom.

abc: 3.7884 3.7884 7.6814
angles: 90.00 90.00 120.00
Closest atoms and distances in Å follow each position.
Space group P-3m1 (No. 164)
Symmetry-distinct sites (fractional):
Dy 0.0000 0.0000 0.0000 x1  6 Si 2.97, 6 Be 3.01
Zr 0.0000 0.0000 0.5000 x1  6 Be 2.81, 6 Si 2.85
Be 0.3333 0.6667 0.7301 x2  3 Si 2.19
Si 0.3333 0.6667 0.2622 x2  3 Be 2.19

[11]
DFT (PBE-GGA) results for crystalline ZrGaCo2 at its relaxed geometry.

Output
As for the total magnetization: 1.1 μB/cell. As for the final energy: -6.75 eV/atom.

abc: 6.6350 6.6055 5.2729
angles: 90.00 90.00 90.00
Closest atoms and distances in Å follow each position.
Space group Pnma (No. 62)
Symmetry-distinct sites (fractional):
Zr 0.0295 0.2500 0.1535 x4  8 Co 2.74-2.94, 3 Ga 2.79-2.89
Ga 0.1094 0.7500 0.3462 x4  6 Co 2.35-2.41
Co 0.1858 0.0456 0.5868 x8  3 Ga 2.35-2.41

[12]
DFT (PBE-GGA) results for crystalline PaSi2B2 at its relaxed geometry.

Output
As for the total magnetization: 0.0 μB/cell. As for the final energy: -6.75 eV/atom.

abc: 3.9836 3.9836 8.0995
angles: 90.00 90.00 90.00
Closest atoms and distances in Å follow each position.
Space group I4/mmm (No. 139)
Symmetry-distinct sites (fractional):
Pa 0.0000 0.0000 0.0000 x2  8 B 2.84, 10 Si 2.85-3.06
Si 0.0000 0.0000 0.3520 x4  4 B 2.16, 1 Si 2.40
B 0.0000 0.5000 0.2500 x4  4 Si 2.16